# 1
# PBE LiAu, relaxed
# - E_tot: -3.13 eV per atom
data_LiAu
_symmetry_space_group_name_H-M 'P 1'
_symmetry_Int_Tables_number 1
_symmetry_space_group_name_Hall 'P 1'
_cell_length_a 3.110
_cell_length_b 3.110
_cell_length_c 3.110
_cell_angle_alpha 90.00
_cell_angle_beta 90.00
_cell_angle_gamma 90.00
loop_
_atom_site_label
_atom_site_type_symbol
_atom_site_fract_x
_atom_site_fract_y
_atom_site_fract_z
Li1 Li 0.000 0.000 0.000
Au1 Au 0.500 0.500 0.500

***

# 2
# PBE PrCo, relaxed
# - Formation enthalpy at 0 K: 860 meV/atom
# - Magnetic moment: 0.003 μB/cell
# - E_tot: -5.08 eV per atom
data_PrCo
_symmetry_space_group_name_H-M 'P 1'
_symmetry_Int_Tables_number 1
_symmetry_space_group_name_Hall 'P 1'
_cell_length_a 4.294
_cell_length_b 4.294
_cell_length_c 4.294
_cell_angle_alpha 60.00
_cell_angle_beta 60.00
_cell_angle_gamma 60.00
loop_
_atom_site_label
_atom_site_type_symbol
_atom_site_fract_x
_atom_site_fract_y
_atom_site_fract_z
Pr1 Pr 0.000 0.000 0.000
Co1 Co 0.250 0.250 0.250

***

# 3
# PBE ZrH2O3, relaxed
# - Energy above the most stable polymorph in this dataset: 91 meV per atom
# - Magnetic moment: 0.000 μB/cell
# - E_tot: -7.01 eV per atom
data_ZrH2O3
_symmetry_space_group_name_H-M 'P 1'
_symmetry_Int_Tables_number 1
_symmetry_space_group_name_Hall 'P 1'
_cell_length_a 5.133
_cell_length_b 5.133
_cell_length_c 5.542
_cell_angle_alpha 102.32
_cell_angle_beta 102.32
_cell_angle_gamma 113.88
loop_
_atom_site_label
_atom_site_type_symbol
_atom_site_fract_x
_atom_site_fract_y
_atom_site_fract_z
Zr1 Zr 0.116 0.884 0.500
Zr2 Zr 0.884 0.116 0.000
H1 H 0.384 0.713 0.047
H2 H 0.564 0.604 0.612
H3 H 0.604 0.564 0.112
H4 H 0.713 0.384 0.547
O1 O 0.078 0.218 0.736
O2 O 0.218 0.078 0.236
O3 O 0.461 0.872 0.711
O4 O 0.583 0.754 0.158
O5 O 0.754 0.583 0.658
O6 O 0.872 0.461 0.211

***

# 4
# PBE ZnAsPtAu, relaxed
# - Energy above the most stable polymorph in this dataset: 0 meV per atom
# - Magnetic moment: 0.002 μB/cell
# - E_tot: -3.81 eV per atom
data_ZnAsPtAu
_symmetry_space_group_name_H-M 'P 1'
_symmetry_Int_Tables_number 1
_symmetry_space_group_name_Hall 'P 1'
_cell_length_a 4.551
_cell_length_b 4.551
_cell_length_c 4.551
_cell_angle_alpha 60.00
_cell_angle_beta 60.00
_cell_angle_gamma 60.00
loop_
_atom_site_label
_atom_site_type_symbol
_atom_site_fract_x
_atom_site_fract_y
_atom_site_fract_z
Zn1 Zn 0.000 0.000 0.000
As1 As 0.500 0.500 0.500
Pt1 Pt 0.750 0.750 0.750
Au1 Au 0.250 0.250 0.250

***

# 5
# PBE Cu2PbSe2, relaxed
# - E_tot: -3.73 eV per atom
data_Cu2PbSe2
_symmetry_space_group_name_H-M 'P 1'
_symmetry_Int_Tables_number 1
_symmetry_space_group_name_Hall 'P 1'
_cell_length_a 9.085
_cell_length_b 8.594
_cell_length_c 5.612
_cell_angle_alpha 90.00
_cell_angle_beta 90.00
_cell_angle_gamma 90.00
loop_
_atom_site_label
_atom_site_type_symbol
_atom_site_fract_x
_atom_site_fract_y
_atom_site_fract_z
Cu1 Cu 0.094 0.105 0.250
Cu2 Cu 0.094 0.395 0.750
Cu3 Cu 0.289 0.250 0.000
Cu4 Cu 0.289 0.250 0.500
Cu5 Cu 0.711 0.750 0.000
Cu6 Cu 0.711 0.750 0.500
Cu7 Cu 0.906 0.605 0.250
Cu8 Cu 0.906 0.895 0.750
Pb1 Pb 0.306 0.628 0.250
Pb2 Pb 0.306 0.872 0.750
Pb3 Pb 0.694 0.128 0.250
Pb4 Pb 0.694 0.372 0.750
Se1 Se 0.070 0.109 0.750
Se2 Se 0.070 0.391 0.250
Se3 Se 0.382 0.044 0.250
Se4 Se 0.382 0.456 0.750
Se5 Se 0.618 0.544 0.250
Se6 Se 0.618 0.956 0.750
Se7 Se 0.930 0.609 0.750
Se8 Se 0.930 0.891 0.250

***

# 6
# PBE KAcRe, relaxed
# - Energy above the most stable polymorph in this dataset: 0 meV per atom
# - Magnetic moment: 1.265 μB/cell
# - E_tot: -4.40 eV per atom
data_KAcRe
_symmetry_space_group_name_H-M 'P 1'
_symmetry_Int_Tables_number 1
_symmetry_space_group_name_Hall 'P 1'
_cell_length_a 5.218
_cell_length_b 5.218
_cell_length_c 5.218
_cell_angle_alpha 60.00
_cell_angle_beta 60.00
_cell_angle_gamma 60.00
loop_
_atom_site_label
_atom_site_type_symbol
_atom_site_fract_x
_atom_site_fract_y
_atom_site_fract_z
K1 K 0.000 0.000 0.000
Ac1 Ac 0.500 0.500 0.500
Re1 Re 0.250 0.250 0.250

***

# 7
# PBE Tb2S, relaxed
# - Magnetic moment: 0.042 μB/cell
# - E_tot: -4.30 eV per atom
data_Tb2S
_symmetry_space_group_name_H-M 'P 1'
_symmetry_Int_Tables_number 1
_symmetry_space_group_name_Hall 'P 1'
_cell_length_a 6.093
_cell_length_b 6.093
_cell_length_c 6.093
_cell_angle_alpha 60.00
_cell_angle_beta 60.00
_cell_angle_gamma 60.00
loop_
_atom_site_label
_atom_site_type_symbol
_atom_site_fract_x
_atom_site_fract_y
_atom_site_fract_z
Tb1 Tb 0.000 0.000 0.000
Tb2 Tb 0.000 0.000 0.500
Tb3 Tb 0.000 0.500 0.000
Tb4 Tb 0.500 0.000 0.000
S1 S 0.375 0.375 0.375
S2 S 0.625 0.625 0.625

***

# 8
# PBE Li2YNiAs2, relaxed
# - Magnetic moment: 0.773 μB/cell
# - E_tot: -4.90 eV per atom
data_Li2YNiAs2
_symmetry_space_group_name_H-M 'P 1'
_symmetry_Int_Tables_number 1
_symmetry_space_group_name_Hall 'P 1'
_cell_length_a 4.132
_cell_length_b 4.132
_cell_length_c 6.475
_cell_angle_alpha 90.00
_cell_angle_beta 90.00
_cell_angle_gamma 120.00
loop_
_atom_site_label
_atom_site_type_symbol
_atom_site_fract_x
_atom_site_fract_y
_atom_site_fract_z
Li1 Li 0.333 0.667 0.353
Li2 Li 0.667 0.333 0.647
Y1 Y 0.000 0.000 0.000
Ni1 Ni 0.000 0.000 0.500
As1 As 0.333 0.667 0.737
As2 As 0.667 0.333 0.263

***

# 9
# PBE LuCoNiSn, relaxed
# - Energy above the most stable polymorph in this dataset: 0 meV per atom
# - Magnetic moment: 0.081 μB/cell
# - E_tot: -5.70 eV per atom
data_LuCoNiSn
_symmetry_space_group_name_H-M 'P 1'
_symmetry_Int_Tables_number 1
_symmetry_space_group_name_Hall 'P 1'
_cell_length_a 4.500
_cell_length_b 4.500
_cell_length_c 4.500
_cell_angle_alpha 60.00
_cell_angle_beta 60.00
_cell_angle_gamma 60.00
loop_
_atom_site_label
_atom_site_type_symbol
_atom_site_fract_x
_atom_site_fract_y
_atom_site_fract_z
Lu1 Lu 0.000 0.000 0.000
Co1 Co 0.750 0.750 0.750
Ni1 Ni 0.250 0.250 0.250
Sn1 Sn 0.500 0.500 0.500

***

# 10
# PBE DyHo2Lu4Te2Ir2, relaxed
# - Magnetic moment: 0.017 μB/cell
# - E_tot: -6.02 eV per atom
data_DyHo2Lu4Te2Ir2
_symmetry_space_group_name_H-M 'P 1'
_symmetry_Int_Tables_number 1
_symmetry_space_group_name_Hall 'P 1'
_cell_length_a 9.265
_cell_length_b 9.265
_cell_length_c 9.265
_cell_angle_alpha 155.69
_cell_angle_beta 66.34
_cell_angle_gamma 119.34
loop_
_atom_site_label
_atom_site_type_symbol
_atom_site_fract_x
_atom_site_fract_y
_atom_site_fract_z
Dy1 Dy 0.000 0.000 0.000
Ho1 Ho 0.450 0.582 0.868
Ho2 Ho 0.713 0.582 0.132
Lu1 Lu 0.057 0.371 0.686
Lu2 Lu 0.082 0.730 0.352
Lu3 Lu 0.378 0.730 0.648
Lu4 Lu 0.685 0.371 0.314
Te1 Te 0.334 0.334 0.000
Te2 Te 0.736 0.236 0.500
Ir1 Ir 0.307 0.071 0.236
Ir2 Ir 0.834 0.071 0.764

***

# 11
# PBE Ho2Sn6Pd, relaxed
# - Magnetic moment: 0.004 μB/cell
# - E_tot: -4.78 eV per atom
data_Ho2Sn6Pd
_symmetry_space_group_name_H-M 'P 1'
_symmetry_Int_Tables_number 1
_symmetry_space_group_name_Hall 'P 1'
_cell_length_a 11.653
_cell_length_b 11.653
_cell_length_c 4.463
_cell_angle_alpha 90.00
_cell_angle_beta 90.00
_cell_angle_gamma 158.24
loop_
_atom_site_label
_atom_site_type_symbol
_atom_site_fract_x
_atom_site_fract_y
_atom_site_fract_z
Ho1 Ho 0.180 0.820 0.000
Ho2 Ho 0.820 0.180 0.000
Sn1 Sn 0.075 0.925 0.500
Sn2 Sn 0.295 0.705 0.500
Sn3 Sn 0.426 0.574 0.000
Sn4 Sn 0.574 0.426 0.000
Sn5 Sn 0.705 0.295 0.500
Sn6 Sn 0.925 0.075 0.500
Pd1 Pd 0.500 0.500 0.500

***

# 12
# PBE Dy5Tl4, relaxed
# - Magnetic moment: 0.081 μB/cell
# - E_tot: -3.95 eV per atom
data_Dy5Tl4
_symmetry_space_group_name_H-M 'P 1'
_symmetry_Int_Tables_number 1
_symmetry_space_group_name_Hall 'P 1'
_cell_length_a 9.301
_cell_length_b 9.301
_cell_length_c 6.678
_cell_angle_alpha 90.00
_cell_angle_beta 90.00
_cell_angle_gamma 120.00
loop_
_atom_site_label
_atom_site_type_symbol
_atom_site_fract_x
_atom_site_fract_y
_atom_site_fract_z
Dy1 Dy 0.000 0.289 0.250
Dy2 Dy 0.000 0.711 0.750
Dy3 Dy 0.289 0.000 0.250
Dy4 Dy 0.289 0.289 0.750
Dy5 Dy 0.333 0.667 0.000
Dy6 Dy 0.333 0.667 0.500
Dy7 Dy 0.667 0.333 0.000
Dy8 Dy 0.667 0.333 0.500
Dy9 Dy 0.711 0.000 0.750
Dy10 Dy 0.711 0.711 0.250
Tl1 Tl 0.000 0.000 0.000
Tl2 Tl 0.000 0.000 0.500
Tl3 Tl 0.000 0.374 0.750
Tl4 Tl 0.000 0.626 0.250
Tl5 Tl 0.374 0.000 0.750
Tl6 Tl 0.374 0.374 0.250
Tl7 Tl 0.626 0.000 0.250
Tl8 Tl 0.626 0.626 0.750